[1]
First-principles (GGA-PBE) data for crystalline CaNbH at its relaxed geometry, as listed in Alexandria.

Summary:
Energy above the lowest structure with this stoichiometry (meV per atom): 132

Cell: 3.2736 3.6031 9.5831 Å, 90.00 93.81 90.00°
Closest atoms and distances in Å follow each position.
Element x y z (fractional)
Ca 0.2321 0.2500 0.3286  2 H 2.17
Ca 0.7679 0.7500 0.6714  2 H 2.17
Nb 0.3103 0.2500 0.9164  2 H 1.93-2.05
Nb 0.6897 0.7500 0.0836  2 H 1.93-2.05
H 0.2360 0.7500 0.2018  2 Nb 1.93-2.05
H 0.7640 0.2500 0.7982  2 Nb 1.93-2.05


[2]
First-principles (GGA-PBE) data for crystalline CaNbH at its relaxed geometry, as listed in Alexandria.

Summary:
Energy above the lowest structure with this stoichiometry (meV per atom): 1865

Cell: 5.0347 5.0347 5.9660 Å, 90.00 90.00 120.00°
Closest atoms and distances in Å follow each position.
Element x y z (fractional)
Ca 0.3333 0.6667 0.2500  5 Nb 2.91-2.98
Ca 0.6667 0.3333 0.7500  5 Nb 2.91-2.98
Nb 0.3333 0.6667 0.7500  5 Ca 2.91-2.98
Nb 0.6667 0.3333 0.2500  5 Ca 2.91-2.98
H 0.0000 0.0000 0.0000  2 H 2.98, 6 Nb 3.27, 6 Ca 3.27
H 0.0000 0.0000 0.5000  2 H 2.98, 6 Nb 3.27, 6 Ca 3.27


[3]
First-principles (GGA-PBE) data for crystalline CaNbH at its relaxed geometry, as listed in Alexandria.

Summary:
Energy above the lowest structure with this stoichiometry (meV per atom): 303

Cell: 10.9590 3.3027 5.5020 Å, 90.00 90.00 90.00°
Closest atoms and distances in Å follow each position.
Element x y z (fractional)
Ca 0.0049 0.2500 0.2502  3 H 2.52-2.77
Ca 0.4951 0.7500 0.7502  3 H 2.52-2.77
Ca 0.5049 0.2500 0.2498  3 H 2.52-2.77
Ca 0.9951 0.7500 0.7498  3 H 2.52-2.77
Nb 0.2481 0.2500 0.6017  3 H 2.03-2.06
Nb 0.2519 0.7500 0.1017  3 H 2.03-2.06
Nb 0.7481 0.2500 0.8983  3 H 2.03-2.06
Nb 0.7519 0.7500 0.3983  3 H 2.03-2.06
H 0.1745 0.2500 0.9405  3 Nb 2.03-2.06
H 0.3255 0.7500 0.4405  3 Nb 2.03-2.06
H 0.6745 0.2500 0.5595  3 Nb 2.03-2.06
H 0.8255 0.7500 0.0595  3 Nb 2.03-2.06


[4]
First-principles (GGA-PBE) data for crystalline CaNbH2 at its relaxed geometry, as listed in Alexandria.

Summary:
Energy above the lowest structure with this stoichiometry (meV per atom): 0

Cell: 5.3306 5.3306 7.5463 Å, 90.00 90.00 90.00°
Closest atoms and distances in Å follow each position.
Element x y z (fractional)
Ca 0.0000 0.0000 0.0000  4 H 2.32
Ca 0.0000 0.5000 0.2500  4 H 2.32
Ca 0.5000 0.0000 0.7500  4 H 2.32
Ca 0.5000 0.5000 0.5000  4 H 2.32
Nb 0.0000 0.0000 0.5000  4 H 1.92
Nb 0.0000 0.5000 0.7500  4 H 1.92
Nb 0.5000 0.0000 0.2500  4 H 1.92
Nb 0.5000 0.5000 0.0000  4 H 1.92
H 0.1899 0.2500 0.6250  2 Nb 1.92
H 0.2500 0.6899 0.8750  2 Nb 1.92
H 0.2500 0.8101 0.3750  2 Nb 1.92
H 0.3101 0.2500 0.1250  2 Nb 1.92
H 0.6899 0.7500 0.1250  2 Nb 1.92
H 0.7500 0.1899 0.3750  2 Nb 1.92
H 0.7500 0.3101 0.8750  2 Nb 1.92
H 0.8101 0.7500 0.6250  2 Nb 1.92


[5]
First-principles (GGA-PBE) data for crystalline CaNbH at its relaxed geometry, as listed in Alexandria.

Summary:
Energy above the lowest structure with this stoichiometry (meV per atom): 2032

Cell: 6.9336 6.9336 6.9336 Å, 90.00 90.00 90.00°
Closest atoms and distances in Å follow each position.
Element x y z (fractional)
Ca 0.0000 0.0000 0.0000  4 H 3.00, 4 Nb 3.00
Ca 0.0000 0.5000 0.5000  4 H 3.00, 4 Nb 3.00
Ca 0.5000 0.0000 0.5000  4 H 3.00, 4 Nb 3.00
Ca 0.5000 0.5000 0.0000  4 H 3.00, 4 Nb 3.00
Nb 0.2500 0.2500 0.2500  4 Ca 3.00
Nb 0.2500 0.7500 0.7500  4 Ca 3.00
Nb 0.7500 0.2500 0.7500  4 Ca 3.00
Nb 0.7500 0.7500 0.2500  4 Ca 3.00
H 0.2500 0.2500 0.7500  4 Ca 3.00
H 0.2500 0.7500 0.2500  4 Ca 3.00
H 0.7500 0.2500 0.2500  4 Ca 3.00
H 0.7500 0.7500 0.7500  4 Ca 3.00


[6]
First-principles (GGA-PBE) data for crystalline CaNbH at its relaxed geometry, as listed in Alexandria.

Summary:
Energy above the lowest structure with this stoichiometry (meV per atom): 1668

Cell: 5.1223 5.1223 2.6589 Å, 90.00 90.00 120.00°
Closest atoms and distances in Å follow each position.
Element x y z (fractional)
Ca 0.0000 0.0000 0.0000  2 Ca 2.66, 3 Nb 2.96
Nb 0.3333 0.6667 0.0000  2 Nb 2.66, 3 Ca 2.96
H 0.6667 0.3333 0.5000  2 H 2.66


[7]
First-principles (GGA-PBE) data for crystalline CaNbH at its relaxed geometry, as listed in Alexandria.

Summary:
Energy above the lowest structure with this stoichiometry (meV per atom): 134

Cell: 3.4712 3.6899 8.8082 Å, 90.00 92.37 90.00°
Closest atoms and distances in Å follow each position.
Element x y z (fractional)
Ca 0.0000 0.0000 0.0000  2 H 2.21
Ca 0.4748 0.5000 0.6530  1 H 2.28
Nb 0.0018 0.0000 0.4039  2 H 1.95
Nb 0.5360 0.5000 0.2551  3 H 1.98-2.06
H 0.0109 0.5000 0.1373  2 Nb 1.98-2.06, 2 Ca 2.21
H 0.8612 0.5000 0.4495  3 Nb 1.95-2.01


[8]
First-principles (GGA-PBE) data for crystalline CaNbH at its relaxed geometry, as listed in Alexandria.

Summary:
Energy above the lowest structure with this stoichiometry (meV per atom): 293

Cell: 4.2256 4.2256 5.5573 Å, 90.00 90.00 90.00°
Closest atoms and distances in Å follow each position.
Element x y z (fractional)
Ca 0.2500 0.7500 0.0000  4 H 2.23
Ca 0.7500 0.2500 0.0000  4 H 2.23
Nb 0.2500 0.2500 0.4695  1 H 1.90
Nb 0.7500 0.7500 0.5305  1 H 1.90
H 0.2500 0.2500 0.1282  1 Nb 1.90
H 0.7500 0.7500 0.8718  1 Nb 1.90


[9]
First-principles (GGA-PBE) data for crystalline CaNbH at its relaxed geometry, as listed in Alexandria.

Summary:
Energy above the lowest structure with this stoichiometry (meV per atom): 154

Cell: 3.1820 4.8999 6.5974 Å, 90.00 90.21 90.00°
Closest atoms and distances in Å follow each position.
Element x y z (fractional)
Ca 0.0030 0.2500 0.3371  3 H 2.48-2.55
Ca 0.9970 0.7500 0.6629  3 H 2.48-2.55
Nb 0.4994 0.7500 0.0914  2 H 2.00
Nb 0.5006 0.2500 0.9086  2 H 2.00
H 0.0006 0.7500 0.2759  2 Nb 2.00
H 0.9994 0.2500 0.7241  2 Nb 2.00


[10]
First-principles (GGA-PBE) data for crystalline CaNbH at its relaxed geometry, as listed in Alexandria.

Summary:
Energy above the lowest structure with this stoichiometry (meV per atom): 83

Cell: 3.6012 3.5990 8.5891 Å, 90.00 91.98 90.00°
Closest atoms and distances in Å follow each position.
Element x y z (fractional)
Ca 0.0000 0.0000 0.0000  1 H 2.25
Ca 0.4710 0.5000 0.6454  4 H 2.54-2.56
Nb 0.4570 0.5000 0.2622  2 H 1.97
Nb 0.9386 0.0000 0.4000  2 H 2.02-2.04
H 0.6191 0.0000 0.2023  3 Nb 1.97-2.02
H 0.9744 0.0000 0.6373  1 Nb 2.04


[11]
First-principles (GGA-PBE) data for crystalline CaNbH at its relaxed geometry, as listed in Alexandria.

Summary:
Energy above the lowest structure with this stoichiometry (meV per atom): 381

Cell: 6.4088 3.0166 11.5227 Å, 90.00 90.00 90.00°
Closest atoms and distances in Å follow each position.
Element x y z (fractional)
Ca 0.1186 0.2500 0.1386  2 H 2.41
Ca 0.3814 0.7500 0.6386  2 H 2.41
Ca 0.6186 0.2500 0.3614  2 H 2.41
Ca 0.8814 0.7500 0.8614  2 H 2.41
Nb 0.1138 0.2500 0.4232  2 H 2.07
Nb 0.3862 0.7500 0.9232  2 H 2.07
Nb 0.6138 0.2500 0.0768  2 H 2.07
Nb 0.8862 0.7500 0.5768  2 H 2.07
H 0.1438 0.7500 0.3016  2 Nb 2.07
H 0.3562 0.2500 0.8016  2 Nb 2.07
H 0.6438 0.7500 0.1984  2 Nb 2.07
H 0.8562 0.2500 0.6984  2 Nb 2.07


[12]
First-principles (GGA-PBE) data for crystalline CaNbH at its relaxed geometry, as listed in Alexandria.

Summary:
Energy above the lowest structure with this stoichiometry (meV per atom): 162

Cell: 3.7181 3.5558 8.5879 Å, 90.00 92.48 90.00°
Closest atoms and distances in Å follow each position.
Element x y z (fractional)
Ca 0.0000 0.0000 0.0000  3 H 2.30-2.33
Ca 0.4727 0.5000 0.6673  2 H 2.32
Nb 0.4358 0.5000 0.2823  2 H 2.02
Nb 0.9310 0.0000 0.3962  1 H 1.98
H 0.4877 0.0000 0.8409  4 Ca 2.30-2.32
H 0.6129 0.0000 0.2055  3 Nb 1.98-2.02


[13]
First-principles (GGA-PBE) data for crystalline CaNbH at its relaxed geometry, as listed in Alexandria.

Summary:
Energy above the lowest structure with this stoichiometry (meV per atom): 103

Cell: 3.6100 3.6074 8.4869 Å, 90.00 90.72 90.00°
Closest atoms and distances in Å follow each position.
Element x y z (fractional)
Ca 0.0000 0.0000 0.0000  1 H 3.09, 5 Nb 3.29-3.35
Ca 0.4820 0.5000 0.6511  1 H 2.23
Nb 0.0110 0.0000 0.3915  3 H 1.95-2.07
Nb 0.5237 0.5000 0.2501  1 H 1.99
H 0.9995 0.0000 0.6356  1 Nb 2.07
H 0.8481 0.5000 0.4417  3 Nb 1.95-1.99


[14]
First-principles (GGA-PBE) data for crystalline CaNbH at its relaxed geometry, as listed in Alexandria.

Summary:
Energy above the lowest structure with this stoichiometry (meV per atom): 1780

Cell: 4.9499 4.9499 6.1421 Å, 90.00 90.00 120.00°
Closest atoms and distances in Å follow each position.
Element x y z (fractional)
Ca 0.3333 0.6667 0.2500  3 H 2.86, 5 Nb 2.86-3.07
Ca 0.6667 0.3333 0.7500  3 H 2.86, 5 Nb 2.86-3.07
Nb 0.3333 0.6667 0.7500  3 H 2.86, 5 Ca 2.86-3.07
Nb 0.6667 0.3333 0.2500  3 H 2.86, 5 Ca 2.86-3.07
H 0.0000 0.0000 0.2500  3 Ca 2.86, 3 Nb 2.86, 2 H 3.07
H 0.0000 0.0000 0.7500  3 Nb 2.86, 3 Ca 2.86, 2 H 3.07


[15]
First-principles (GGA-PBE) data for crystalline CaNbH at its relaxed geometry, as listed in Alexandria.

Summary:
Energy above the lowest structure with this stoichiometry (meV per atom): 517

Cell: 5.7389 6.1910 5.7676 Å, 90.00 90.00 90.00°
Closest atoms and distances in Å follow each position.
Element x y z (fractional)
Ca 0.0000 0.0000 0.0000  4 H 2.44-2.68
Ca 0.0000 0.5000 0.0000  4 H 2.44-2.68
Ca 0.5000 0.0000 0.5000  4 H 2.44-2.68
Ca 0.5000 0.5000 0.5000  4 H 2.44-2.68
Nb 0.0018 0.2500 0.4859  2 H 1.98
Nb 0.4982 0.7500 0.9859  2 H 1.98
Nb 0.5018 0.2500 0.0141  2 H 1.98
Nb 0.9982 0.7500 0.5141  2 H 1.98
H 0.2307 0.7500 0.7681  2 Nb 1.98
H 0.2693 0.2500 0.2681  2 Nb 1.98
H 0.7307 0.7500 0.7319  2 Nb 1.98
H 0.7693 0.2500 0.2319  2 Nb 1.98


[16]
First-principles (GGA-PBE) data for crystalline CaNbH at its relaxed geometry, as listed in Alexandria.

Summary:
Energy above the lowest structure with this stoichiometry (meV per atom): 155

Cell: 3.6608 3.5248 8.7772 Å, 90.00 91.26 90.00°
Closest atoms and distances in Å follow each position.
Element x y z (fractional)
Ca 0.0000 0.0000 0.0000  1 H 2.23
Ca 0.4828 0.5000 0.6563  2 H 2.23
Nb 0.4612 0.5000 0.2533  2 H 1.95
Nb 0.9500 0.0000 0.4000  3 H 1.97-2.02
H 0.6611 0.0000 0.2075  3 Nb 1.95-1.97
H 0.9747 0.5000 0.5116  2 Nb 2.02, 2 Ca 2.23


[17]
First-principles (GGA-PBE) data for crystalline CaNbH at its relaxed geometry, as listed in Alexandria.

Summary:
Energy above the lowest structure with this stoichiometry (meV per atom): 1973

Cell: 6.6676 6.6676 6.6676 Å, 90.00 90.00 90.00°
Closest atoms and distances in Å follow each position.
Element x y z (fractional)
Ca 0.0000 0.0000 0.0000  4 Nb 2.89
Ca 0.0000 0.5000 0.5000  4 Nb 2.89
Ca 0.5000 0.0000 0.5000  4 Nb 2.89
Ca 0.5000 0.5000 0.0000  4 Nb 2.89
Nb 0.2500 0.2500 0.2500  4 H 2.89, 4 Ca 2.89
Nb 0.2500 0.7500 0.7500  4 H 2.89, 4 Ca 2.89
Nb 0.7500 0.2500 0.7500  4 H 2.89, 4 Ca 2.89
Nb 0.7500 0.7500 0.2500  4 H 2.89, 4 Ca 2.89
H 0.0000 0.0000 0.5000  4 Nb 2.89
H 0.0000 0.5000 0.0000  4 Nb 2.89
H 0.5000 0.0000 0.0000  4 Nb 2.89
H 0.5000 0.5000 0.5000  4 Nb 2.89


[18]
First-principles (GGA-PBE) data for crystalline CaNbPH2 at its relaxed geometry, as listed in Alexandria.

Summary:
Uncorrected energy (eV/atom): -4.61

Cell: 3.7542 3.7542 5.8637 Å, 90.00 90.00 90.00°
Closest atoms and distances in Å follow each position.
Element x y z (fractional)
Ca 0.0000 0.0000 0.0000  4 H 1.88
Nb 0.5000 0.5000 0.5000  4 P 2.65
P 0.0000 0.0000 0.5000  4 Nb 2.65, 2 Ca 2.93
H 0.0000 0.5000 0.0000  2 Ca 1.88
H 0.5000 0.0000 0.0000  2 Ca 1.88


[19]
First-principles (GGA-PBE) data for crystalline Ca2NbHPb at its relaxed geometry, as listed in Alexandria.

Summary:
Uncorrected energy (eV/atom): -3.38

Cell: 6.1806 6.1806 3.8668 Å, 90.00 90.00 90.00°
Closest atoms and distances in Å follow each position.
Element x y z (fractional)
Ca 0.0000 0.5000 0.0000  2 Pb 3.09
Ca 0.5000 0.0000 0.0000  2 Pb 3.09
Nb 0.0000 0.0000 0.5000  8 Ca 3.65, 2 Nb 3.87
H 0.5000 0.5000 0.5000  2 Pb 1.93
Pb 0.5000 0.5000 0.0000  2 H 1.93


[20]
First-principles (GGA-PBE) data for crystalline CaNbH2Pd at its relaxed geometry, as listed in Alexandria.

Summary:
Uncorrected energy (eV/atom): -3.75

Cell: 3.9901 3.9901 5.2262 Å, 90.00 90.00 90.00°
Closest atoms and distances in Å follow each position.
Element x y z (fractional)
Ca 0.0000 0.0000 0.0000  2 Pd 2.61, 4 Nb 2.82
Nb 0.5000 0.5000 0.0000  4 Ca 2.82
H 0.0000 0.5000 0.5000  2 Pd 2.00
H 0.5000 0.0000 0.5000  2 Pd 2.00
Pd 0.0000 0.0000 0.5000  4 H 2.00


[21]
First-principles (GGA-PBE) data for crystalline Ca2NbHS at its relaxed geometry, as listed in Alexandria.

Summary:
Uncorrected energy (eV/atom): -4.45

Cell: 5.0795 5.0795 3.8095 Å, 90.00 90.00 90.00°
Closest atoms and distances in Å follow each position.
Element x y z (fractional)
Ca 0.0000 0.5000 0.0000  2 H 2.54
Ca 0.5000 0.0000 0.0000  2 H 2.54
Nb 0.0000 0.0000 0.5000  2 H 1.90
H 0.0000 0.0000 0.0000  2 Nb 1.90
S 0.5000 0.5000 0.5000  8 Ca 3.17


[22]
First-principles (GGA-PBE) data for crystalline CaNb2SiH at its relaxed geometry, as listed in Alexandria.

Summary:
Uncorrected energy (eV/atom): -4.61

Cell: 5.1199 5.1199 3.3124 Å, 90.00 90.00 90.00°
Closest atoms and distances in Å follow each position.
Element x y z (fractional)
Ca 0.0000 0.0000 0.0000  2 H 1.66
Nb 0.0000 0.5000 0.0000  2 Ca 2.56
Nb 0.5000 0.0000 0.0000  2 Ca 2.56
Si 0.5000 0.5000 0.5000  8 Nb 3.05, 2 Si 3.31
H 0.0000 0.0000 0.5000  2 Ca 1.66


[23]
First-principles (GGA-PBE) data for crystalline CaNbTcH2 at its relaxed geometry, as listed in Alexandria.

Summary:
Uncorrected energy (eV/atom): -4.42

Cell: 3.7823 3.7823 5.0840 Å, 90.00 90.00 90.00°
Closest atoms and distances in Å follow each position.
Element x y z (fractional)
Ca 0.0000 0.0000 0.0000  2 Tc 2.54, 4 Nb 2.67
Nb 0.5000 0.5000 0.0000  4 Ca 2.67
Tc 0.0000 0.0000 0.5000  4 H 1.89
H 0.0000 0.5000 0.5000  2 Tc 1.89
H 0.5000 0.0000 0.5000  2 Tc 1.89


Total magnetization in μB per formula unit, matching the order above: 0.0; 2.9; 0.0; 0.0; 5.2; 0.0; 0.0; 0.0; 0.0; 0.0; 0.5; 0.0; 0.0; 2.8; 0.7; 0.0; 4.2; 1.7; 4.0; 3.0; 2.4; 0.0; 0.0